1.
DFT (PBE-GGA) results for crystalline Bi2BO5 at its relaxed geometry.

a b c (Å): 13.8478 5.4805 5.6042
angles (deg): 90.00 90.00 90.00
Space group Cmc2_1 (No. 36)
Symmetry-distinct sites (fractional):
Bi (0.1581, 0.2290, 0.0000) x8
B (0.0000, 0.3050, 0.5739) x4
O (0.0000, 0.4426, 0.0480) x4
O (0.0874, 0.1842, 0.5910) x8
O (0.2408, 0.4990, 0.7702) x8

Computed properties:
The formation energy from raw total energies comes out at -1.505 eV/atom. Its mass density is 7.95 g/cm3. The crystal system is orthorhombic. The distance to the lowest polymorph of the same formula comes out at 0 meV/atom. Its spin magnetization is 0.000 μB/atom.

---

2.
DFT (PBE-GGA) results for crystalline KTiS3 at its relaxed geometry.

a b c (Å): 4.7945 4.7945 4.7945
angles (deg): 90.00 90.00 90.00
Space group Pm-3m (No. 221)
Symmetry-distinct sites (fractional):
K (0.0000, 0.0000, 0.0000) x1
Ti (0.5000, 0.5000, 0.5000) x1
S (0.0000, 0.5000, 0.5000) x3

Computed properties:
The formation energy from raw total energies comes out at -1.011 eV/atom. Its mass density is 2.76 g/cm3. The crystal system is cubic. The distance to the lowest polymorph of the same formula comes out at 138 meV/atom. Its spin magnetization is 0.000 μB/atom.

---

3.
DFT (PBE-GGA) results for crystalline BeZnRe2 at its relaxed geometry.

a b c (Å): 3.6496 3.6496 17.9360
angles (deg): 90.00 90.00 90.00
Space group I-42d (No. 122)
Symmetry-distinct sites (fractional):
Be (0.0000, 0.0000, 0.0000) x4
Zn (0.0000, 0.0000, 0.5000) x4
Re (0.2244, 0.2500, 0.1250) x8

Computed properties:
Its mass density is 12.42 g/cm3. Its energy of formation from the pure elements is 0.630 eV per atom. The crystal system is tetragonal. Its spin magnetization is 0.000 μB/atom.

---

4.
DFT (PBE-GGA) results for crystalline LiAlNi6 at its relaxed geometry.

a b c (Å): 7.0687 10.0412 10.0470
angles (deg): 90.00 90.00 90.00
Space group Cmmm (No. 65)
Symmetry-distinct sites (fractional):
Li (0.0000, 0.0000, 0.2501) x4
Li (0.0000, 0.2504, 0.0000) x4
Al (0.0000, 0.2490, 0.5000) x4
Al (0.0000, 0.5000, 0.2488) x4
Ni (0.0000, 0.0000, 0.0000) x2
Ni (0.0000, 0.0000, 0.5000) x2
Ni (0.0000, 0.2509, 0.2487) x8
Ni (0.0000, 0.5000, 0.0000) x2
Ni (0.0000, 0.5000, 0.5000) x2
Ni (0.2493, 0.1249, 0.1244) x16
Ni (0.2503, 0.1252, 0.3745) x16

Computed properties:
Its mass density is 7.19 g/cm3. Its energy of formation from the pure elements is -0.196 eV per atom. The crystal system is orthorhombic. The distance to the lowest polymorph of the same formula comes out at 0 meV/atom. Its spin magnetization is 0.295 μB/atom.

---

5.
DFT (PBE-GGA) results for crystalline TcPb2S2 at its relaxed geometry.

a b c (Å): 6.4013 6.4013 5.5108
angles (deg): 90.00 90.00 90.00
Space group P4/mbm (No. 127)
Symmetry-distinct sites (fractional):
Tc (0.0000, 0.0000, 0.0000) x2
Pb (0.1865, 0.3135, 0.5000) x4
S (0.1766, 0.6766, 0.0000) x4

Computed properties:
The formation energy from raw total energies comes out at 0.045 eV/atom. Its mass density is 8.48 g/cm3. The crystal system is tetragonal. The distance to the lowest polymorph of the same formula comes out at 0 meV/atom. Its spin magnetization is 0.144 μB/atom.

---

6.
DFT (PBE-GGA) results for crystalline Na3Pu2NiSe6 at its relaxed geometry.

a b c (Å): 6.9711 12.0832 7.3656
angles (deg): 90.00 108.45 90.00
Space group C2/m (No. 12)
Symmetry-distinct sites (fractional):
Na (0.0000, 0.0000, 0.0000) x2
Na (0.0000, 0.3311, 0.0000) x4
Pu (0.0000, 0.1665, 0.5000) x4
Ni (0.0000, 0.5000, 0.5000) x2
Se (0.2317, 0.3419, 0.7209) x8
Se (0.2422, 0.5000, 0.2801) x4

Computed properties:
The formation energy from raw total energies comes out at -1.064 eV/atom. Its mass density is 6.15 g/cm3. The crystal system is monoclinic. Its spin magnetization is 0.581 μB/atom.

---

7.
DFT (PBE-GGA) results for crystalline HgAu3S2 at its relaxed geometry.

a b c (Å): 8.2350 8.8423 8.1600
angles (deg): 90.00 90.00 90.00
Space group Ibam (No. 72)
Symmetry-distinct sites (fractional):
Hg (0.0000, 0.0000, 0.2500) x4
Au (0.0000, 0.5000, 0.0000) x4
Au (0.2500, 0.2500, 0.2500) x8
S (0.2490, 0.3812, 0.0000) x8

Computed properties:
The formation energy from raw total energies comes out at 0.019 eV/atom. Its mass density is 9.56 g/cm3. The crystal system is orthorhombic. Its spin magnetization is 0.000 μB/atom.

---

8.
DFT (PBE-GGA) results for crystalline LuCd2Ge at its relaxed geometry.

a b c (Å): 4.2095 4.2095 4.8879
angles (deg): 90.00 90.00 90.00
Space group P4/mmm (No. 123)
Symmetry-distinct sites (fractional):
Lu (0.0000, 0.0000, 0.0000) x1
Cd (0.0000, 0.5000, 0.5000) x2
Ge (0.5000, 0.5000, 0.0000) x1

Computed properties:
Its mass density is 9.06 g/cm3. Its energy of formation from the pure elements is -0.338 eV per atom. The crystal system is tetragonal. Its spin magnetization is 0.000 μB/atom.